1.
AcHo2Er | PBE | optimized geometry

Geometry as CIF:
```
data_AcHo2Er
_symmetry_space_group_name_H-M 'P 4/m m m'
_symmetry_Int_Tables_number 123
_symmetry_space_group_name_Hall '-P 4 2'
_cell_length_a 5.133
_cell_length_b 5.133
_cell_length_c 5.157
_cell_angle_alpha 90.00
_cell_angle_beta 90.00
_cell_angle_gamma 90.00
loop_
_atom_site_label
_atom_site_type_symbol
_atom_site_fract_x
_atom_site_fract_y
_atom_site_fract_z
Ac1 Ac 0.000 0.000 0.000
Ho1 Ho 0.000 0.500 0.500
Er1 Er 0.500 0.500 0.000
```

Output
- Energy above the lowest structure with this stoichiometry: 20 meV/atom
- Total DFT energy (no corrections): -4.39 eV/atom
- ΔE_f: 0.07 eV per atom

***

2.
AcHoEr | PBE | optimized geometry

Geometry as CIF:
```
data_AcHoEr
_symmetry_space_group_name_H-M 'P -1'
_symmetry_Int_Tables_number 2
_cell_length_a 3.771
_cell_length_b 6.870
_cell_length_c 8.869
_cell_angle_alpha 74.63
_cell_angle_beta 90.00
_cell_angle_gamma 74.08
loop_
_symmetry_equiv_pos_as_xyz
'x,y,z'
'-x,-y,-z'
loop_
_atom_site_label
_atom_site_type_symbol
_atom_site_fract_x
_atom_site_fract_y
_atom_site_fract_z
Ac1 Ac 0.181 0.137 0.133
Ho1 Ho 0.466 0.568 0.225
Er1 Er 0.139 0.222 0.523
```

Output
- Energy above the lowest structure with this stoichiometry: 0 meV/atom
- Total DFT energy (no corrections): -4.36 eV/atom
- ΔE_f: 0.05 eV per atom

***

3.
AcHo4Er6 | PBE | optimized geometry

Geometry as CIF:
```
data_AcHo4Er6
_symmetry_space_group_name_H-M 'I -4 2 m'
_symmetry_Int_Tables_number 121
_symmetry_space_group_name_Hall 'I -4 2'
_cell_length_a 7.849
_cell_length_b 7.849
_cell_length_c 12.584
_cell_angle_alpha 90.00
_cell_angle_beta 90.00
_cell_angle_gamma 90.00
loop_
_atom_site_label
_atom_site_type_symbol
_atom_site_fract_x
_atom_site_fract_y
_atom_site_fract_z
Ac1 Ac 0.000 0.000 0.000
Ho1 Ho 0.162 0.162 0.427
Er1 Er 0.000 0.500 0.000
Er2 Er 0.232 0.232 0.691
```

Output
- Energy above the lowest structure with this stoichiometry: 300 meV/atom
- Total DFT energy (no corrections): -4.09 eV/atom
- ΔE_f: 0.44 eV per atom

***

4.
AcHoEr2 | PBE | optimized geometry

Geometry as CIF:
```
data_AcHoEr2
_symmetry_space_group_name_H-M 'R -3 m'
_symmetry_Int_Tables_number 166
_symmetry_space_group_name_Hall '-R 3 2"'
_cell_length_a 3.5513
_cell_length_b 3.5513
_cell_length_c 37.7625
_cell_angle_alpha 90.00
_cell_angle_beta 90.00
_cell_angle_gamma 120.00
loop_
_atom_site_label
_atom_site_type_symbol
_atom_site_fract_x
_atom_site_fract_y
_atom_site_fract_z
Ac1 Ac 0.0000 0.0000 0.0000
Ho1 Ho 0.0000 0.0000 0.5000
Er1 Er 0.0000 0.0000 0.0929
```

Output
- Energy above the lowest structure with this stoichiometry: 143 meV/atom
- Total DFT energy (no corrections): -4.26 eV/atom
- ΔE_f: 0.19 eV per atom

***

5.
Ac2Ho5Er6 | PBE | optimized geometry

Geometry as CIF:
```
data_Ac2Ho5Er6
_symmetry_space_group_name_H-M 'P b a m'
_symmetry_Int_Tables_number 55
_cell_length_a 11.847
_cell_length_b 20.174
_cell_length_c 3.619
_cell_angle_alpha 90.00
_cell_angle_beta 90.00
_cell_angle_gamma 90.00
loop_
_symmetry_equiv_pos_as_xyz
'x,y,z'
'-x,-y,-z'
'-x,-y,z'
'x,y,-z'
'x+1/2,-y+1/2,-z'
'-x+1/2,y+1/2,z'
'-x+1/2,y+1/2,-z'
'x+1/2,-y+1/2,z'
loop_
_atom_site_label
_atom_site_type_symbol
_atom_site_fract_x
_atom_site_fract_y
_atom_site_fract_z
Ac1 Ac 0.160 0.222 0.000
Ho1 Ho 0.000 0.500 0.500
Ho2 Ho 0.101 0.783 0.500
Ho3 Ho 0.200 0.052 0.500
Er1 Er 0.060 0.925 0.000
Er2 Er 0.075 0.638 0.000
Er3 Er 0.182 0.383 0.500
```

Output
- Total DFT energy (no corrections): -4.37 eV/atom
- ΔE_f: 0.12 eV per atom

***

6.
Ac2Ho6Er | PBE | optimized geometry

Geometry as CIF:
```
data_Ac2Ho6Er
_symmetry_space_group_name_H-M 'P 1 2/m 1'
_symmetry_Int_Tables_number 10
_cell_length_a 8.746
_cell_length_b 3.621
_cell_length_c 10.037
_cell_angle_alpha 90.00
_cell_angle_beta 101.90
_cell_angle_gamma 90.00
loop_
_symmetry_equiv_pos_as_xyz
'x,y,z'
'-x,-y,-z'
'-x,y,-z'
'x,-y,z'
loop_
_atom_site_label
_atom_site_type_symbol
_atom_site_fract_x
_atom_site_fract_y
_atom_site_fract_z
Ac1 Ac 0.194 0.000 0.462
Ho1 Ho 0.123 0.500 0.786
Ho2 Ho 0.183 0.000 0.098
Ho3 Ho 0.480 0.500 0.323
Er1 Er 0.500 0.500 0.000
```

Output
- Total DFT energy (no corrections): -4.33 eV/atom
- ΔE_f: 0.14 eV per atom

***

7.
AcHoEr2 | PBE | optimized geometry

Geometry as CIF:
```
data_AcHoEr2
_symmetry_space_group_name_H-M 'R 3 m'
_symmetry_Int_Tables_number 160
_symmetry_space_group_name_Hall 'R 3 -2"'
_cell_length_a 3.6783
_cell_length_b 3.6783
_cell_length_c 34.7327
_cell_angle_alpha 90.00
_cell_angle_beta 90.00
_cell_angle_gamma 120.00
loop_
_atom_site_label
_atom_site_type_symbol
_atom_site_fract_x
_atom_site_fract_y
_atom_site_fract_z
Ac1 Ac 0.0000 0.0000 0.0000
Ho1 Ho 0.0000 0.0000 0.1660
Er1 Er 0.0000 0.0000 0.4199
Er2 Er 0.0000 0.0000 0.5793
```

Output
- Energy above the lowest structure with this stoichiometry: 0 meV/atom
- Total DFT energy (no corrections): -4.40 eV/atom
- ΔE_f: 0.05 eV per atom

***

8.
Ac2Ho5Er4 | PBE | optimized geometry

Geometry as CIF:
```
data_Ac2Ho5Er4
_symmetry_space_group_name_H-M 'P -1'
_symmetry_Int_Tables_number 2
_cell_length_a 3.637
_cell_length_b 8.800
_cell_length_c 11.896
_cell_angle_alpha 105.08
_cell_angle_beta 98.75
_cell_angle_gamma 90.04
loop_
_symmetry_equiv_pos_as_xyz
'x,y,z'
'-x,-y,-z'
loop_
_atom_site_label
_atom_site_type_symbol
_atom_site_fract_x
_atom_site_fract_y
_atom_site_fract_z
Ac1 Ac 0.091 0.226 0.181
Ho1 Ho 0.000 0.500 0.000
Ho2 Ho 0.270 0.682 0.540
Ho3 Ho 0.362 0.403 0.724
Er1 Er 0.183 0.952 0.366
Er2 Er 0.450 0.146 0.901
```

Output
- Total DFT energy (no corrections): -4.44 eV/atom
- ΔE_f: 0.05 eV per atom

***

9.
AcHo2Er9 | PBE | optimized geometry

Geometry as CIF:
```
data_AcHo2Er9
_symmetry_space_group_name_H-M 'P 4/m m m'
_symmetry_Int_Tables_number 123
_symmetry_space_group_name_Hall '-P 4 2'
_cell_length_a 5.015
_cell_length_b 5.015
_cell_length_c 15.070
_cell_angle_alpha 90.00
_cell_angle_beta 90.00
_cell_angle_gamma 90.00
loop_
_atom_site_label
_atom_site_type_symbol
_atom_site_fract_x
_atom_site_fract_y
_atom_site_fract_z
Ac1 Ac 0.000 0.000 0.000
Ho1 Ho 0.000 0.000 0.336
Er1 Er 0.000 0.500 0.174
Er2 Er 0.000 0.500 0.500
Er3 Er 0.500 0.500 0.000
Er4 Er 0.500 0.500 0.337
```

Output
- Total DFT energy (no corrections): -4.49 eV/atom
- ΔE_f: 0.04 eV per atom

***

10.
AcHo3Er7 | PBE | optimized geometry

Geometry as CIF:
```
data_AcHo3Er7
_symmetry_space_group_name_H-M 'P 1 2/m 1'
_symmetry_Int_Tables_number 10
_cell_length_a 6.952
_cell_length_b 5.546
_cell_length_c 9.798
_cell_angle_alpha 90.00
_cell_angle_beta 108.30
_cell_angle_gamma 90.00
loop_
_symmetry_equiv_pos_as_xyz
'x,y,z'
'-x,-y,-z'
'-x,y,-z'
'x,-y,z'
loop_
_atom_site_label
_atom_site_type_symbol
_atom_site_fract_x
_atom_site_fract_y
_atom_site_fract_z
Ac1 Ac 0.000 0.000 0.000
Ho1 Ho 0.274 0.500 0.492
Ho2 Ho 0.500 0.000 0.000
Er1 Er 0.000 0.000 0.500
Er2 Er 0.149 0.500 0.788
Er3 Er 0.332 0.500 0.145
Er4 Er 0.438 0.000 0.333
```

Output
- Energy above the lowest structure with this stoichiometry: 0 meV/atom
- Total DFT energy (no corrections): -4.37 eV/atom
- ΔE_f: 0.16 eV per atom

***

11.
AcHo7Er2 | PBE | optimized geometry

Geometry as CIF:
```
data_AcHo7Er2
_symmetry_space_group_name_H-M 'C m m m'
_symmetry_Int_Tables_number 65
_symmetry_space_group_name_Hall '-C 2 2'
_cell_length_a 8.772
_cell_length_b 15.819
_cell_length_c 5.726
_cell_angle_alpha 90.00
_cell_angle_beta 90.00
_cell_angle_gamma 90.00
loop_
_atom_site_label
_atom_site_type_symbol
_atom_site_fract_x
_atom_site_fract_y
_atom_site_fract_z
Ac1 Ac 0.000 0.000 0.000
Ho1 Ho 0.000 0.229 0.000
Ho2 Ho 0.000 0.500 0.500
Ho3 Ho 0.178 0.120 0.500
Er1 Er 0.000 0.297 0.500
```

Output
- Energy above the lowest structure with this stoichiometry: 630 meV/atom
- Total DFT energy (no corrections): -3.84 eV/atom
- ΔE_f: 0.69 eV per atom

***

12.
AcHoErIn | PBE | optimized geometry

Geometry as CIF:
```
data_AcHoErIn
_symmetry_space_group_name_H-M 'F -4 3 m'
_symmetry_Int_Tables_number 216
_symmetry_space_group_name_Hall 'F -4 2 3'
_cell_length_a 7.899
_cell_length_b 7.899
_cell_length_c 7.899
_cell_angle_alpha 90.00
_cell_angle_beta 90.00
_cell_angle_gamma 90.00
loop_
_atom_site_label
_atom_site_type_symbol
_atom_site_fract_x
_atom_site_fract_y
_atom_site_fract_z
Ac1 Ac 0.000 0.000 0.000
Ho1 Ho 0.250 0.250 0.250
Er1 Er 0.250 0.250 0.750
In1 In 0.000 0.000 0.500
```

Output
- Total DFT energy (no corrections): -4.01 eV/atom
- ΔE_f: -0.01 eV per atom